# 1
{
  "formula": "Nd3YHo2Tm6",
  "functional": "GGA-PBE",
  "state": "relaxed",
  "cell": [[6.158, 0.001, -0.003], [-3.077, 5.334, -0.003], [-1.017, -1.762, 11.524]],
  "species": ["Nd", "Nd", "Nd", "Y", "Ho", "Ho", "Tm", "Tm", "Tm", "Tm", "Tm", "Tm"],
  "fractional_positions": [[0.167, 0.833, 0.500], [0.833, 0.167, 0.500], [0.500, 0.500, 0.500], [0.000, 0.000, 0.000], [0.333, 0.667, 0.000], [0.667, 0.333, 0.000], [0.918, 0.583, 0.753], [0.748, 0.748, 0.247], [0.082, 0.417, 0.247], [0.583, 0.918, 0.753], [0.252, 0.252, 0.753], [0.417, 0.082, 0.247]]
}


# 2
{
  "formula": "Nd3YHoTm",
  "functional": "GGA-PBE",
  "state": "relaxed",
  "cell": [[5.089, 0.000, 0.000], [-2.545, 7.655, 0.000], [0.000, 0.000, 10.210]],
  "species": ["Nd", "Nd", "Nd", "Nd", "Nd", "Nd", "Y", "Y", "Ho", "Ho", "Tm", "Tm"],
  "fractional_positions": [[0.666, 0.332, 0.500], [0.334, 0.668, 0.500], [0.334, 0.668, 0.000], [0.666, 0.332, 0.000], [0.167, 0.333, 0.750], [0.833, 0.667, 0.250], [0.000, 0.000, 0.500], [0.000, 0.000, 0.000], [0.498, 0.997, 0.750], [0.502, 0.003, 0.250], [0.835, 0.669, 0.750], [0.165, 0.331, 0.250]]
}


# 3
{
  "formula": "Nd3YHo6Tm2",
  "functional": "GGA-PBE",
  "state": "relaxed",
  "cell": [[-0.903, -2.174, -5.709], [-2.349, -3.009, 4.854], [-8.660, 7.973, -0.554]],
  "species": ["Nd", "Nd", "Nd", "Y", "Ho", "Ho", "Ho", "Ho", "Ho", "Ho", "Tm", "Tm"],
  "fractional_positions": [[0.167, 0.833, 0.500], [0.833, 0.167, 0.500], [0.500, 0.500, 0.500], [0.000, 0.000, 0.000], [0.918, 0.583, 0.754], [0.748, 0.748, 0.246], [0.082, 0.417, 0.246], [0.583, 0.918, 0.754], [0.252, 0.252, 0.754], [0.417, 0.082, 0.246], [0.333, 0.667, 0.000], [0.667, 0.333, 0.000]]
}


no.,E_tot (Ha/atom),size of the total moment (Bohr magnetons per cell),density of states at the Fermi level (states/eV per atom)
1,-0.1729,0.00,1.347
2,-0.1819,0.00,1.457
3,-0.1743,0.00,1.382